Entry from the Alexandria database: Pm2Sm12Dy5 after structural relaxation (PBE).

Unit cell a=9.4578 b=9.4578 c=7.9398 alpha=90.69 beta=90.69 gamma=64.95
With the nearest neighbours (Å) after each atom.
Positions (direct):
Pm: 0.2283 0.7717 0.0000  8 Sm 3.51-3.70, 2 Dy 3.68
Pm: 0.7717 0.2283 0.0000  8 Sm 3.51-3.70, 2 Dy 3.68
Sm: 0.0396 0.5741 0.2054  4 Dy 3.49-3.67, 1 Pm 3.51, 6 Sm 3.51-3.73
Sm: 0.1575 0.1575 0.1214  2 Dy 3.24-3.53, 2 Pm 3.54, 4 Sm 3.56-3.61
Sm: 0.1682 0.6205 0.6102  4 Dy 3.37-3.66, 5 Sm 3.48-3.61, 1 Pm 3.53
Sm: 0.3795 0.8318 0.3898  4 Dy 3.37-3.66, 5 Sm 3.48-3.61, 1 Pm 3.53
Sm: 0.4259 0.9604 0.7946  4 Dy 3.49-3.67, 1 Pm 3.51, 6 Sm 3.51-3.73
Sm: 0.4483 0.4483 0.2901  3 Dy 3.32-3.61, 7 Sm 3.48-3.70, 2 Pm 3.70
Sm: 0.5517 0.5517 0.7099  3 Dy 3.32-3.61, 7 Sm 3.48-3.70, 2 Pm 3.70
Sm: 0.5741 0.0396 0.2054  4 Dy 3.49-3.67, 1 Pm 3.51, 6 Sm 3.51-3.73
Sm: 0.6205 0.1682 0.6102  4 Dy 3.37-3.66, 5 Sm 3.48-3.61, 1 Pm 3.53
Sm: 0.8318 0.3795 0.3898  4 Dy 3.37-3.66, 5 Sm 3.48-3.61, 1 Pm 3.53
Sm: 0.8425 0.8425 0.8786  2 Dy 3.24-3.53, 2 Pm 3.54, 4 Sm 3.56-3.61
Sm: 0.9604 0.4259 0.7946  4 Dy 3.49-3.67, 1 Pm 3.51, 6 Sm 3.51-3.73
Dy: 0.0000 0.0000 0.5000  4 Sm 3.37
Dy: 0.2464 0.2464 0.4905  6 Sm 3.24-3.61
Dy: 0.3524 0.3524 0.9165  9 Sm 3.32-3.63, 2 Pm 3.68
Dy: 0.6476 0.6476 0.0835  9 Sm 3.32-3.63, 2 Pm 3.68
Dy: 0.7536 0.7536 0.5095  6 Sm 3.24-3.61

calculated total energy = -86.71 eV/cell
D(E_F) = 25.411 states/eV/f.u.
formation enthalpy at 0 K = 0.1278 eV per atom
total magnetization = 0.00 μB/cell
space group = C2/m (12)
V = 33.86 Å³/atom